1.
Computed, not measured: a relaxed Ac2HoRe2N6 crystal at the PBE-GGA level of DFT.

- size of the total moment (Bohr magnetons per cell) = 0.00
- Fermi-level density of states (states/eV/atom) = 0.250
- formation energy without anion corrections (meV/atom) = -788

Cell: 5.907 5.907 7.019 Å, 65.11 65.11 60.00°
Element x y z (fractional)
Ac  0.788  0.788  0.637
Ac  0.212  0.212  0.363
Ho  0.000  0.000  0.000
Re  0.401  0.401  0.798
Re  0.599  0.599  0.202
N  0.744  0.744  0.280
N  0.232  0.744  0.280
N  0.744  0.232  0.280
N  0.256  0.768  0.720
N  0.768  0.256  0.720
N  0.256  0.256  0.720

***

2.
Computed, not measured: a relaxed AcHo2RuN4 crystal at the PBE-GGA level of DFT.

- size of the total moment (Bohr magnetons per cell) = 0.00
- Fermi-level density of states (states/eV/atom) = 0.342
- formation energy without anion corrections (meV/atom) = -1008

Cell: 3.511 6.204 11.665 Å, 90.00 90.00 106.44°
Element x y z (fractional)
Ac  0.107  0.214  0.750
Ac  0.893  0.786  0.250
Ho  0.369  0.737  0.543
Ho  0.631  0.263  0.043
Ho  0.631  0.263  0.457
Ho  0.369  0.737  0.957
Ru  0.845  0.691  0.750
Ru  0.155  0.309  0.250
N  0.264  0.528  0.121
N  0.736  0.472  0.621
N  0.736  0.472  0.879
N  0.264  0.528  0.379
N  0.000  0.000  0.500
N  0.000  0.000  0.000
N  0.428  0.856  0.750
N  0.572  0.144  0.250

***

3.
Computed, not measured: a relaxed Ac2HoSe2N2 crystal at the PBE-GGA level of DFT.

- size of the total moment (Bohr magnetons per cell) = 0.00
- Fermi-level density of states (states/eV/atom) = 0.516
- formation energy without anion corrections (meV/atom) = -1545

Cell: 4.471 4.471 8.592 Å, 105.08 105.08 90.00°
Element x y z (fractional)
Ac  0.383  0.383  0.766
Ac  0.617  0.617  0.234
Ho  0.000  0.000  0.000
Se  0.179  0.179  0.359
Se  0.821  0.821  0.641
N  0.000  0.500  0.000
N  0.500  0.000  0.000

***

4.
Computed, not measured: a relaxed Ac3HoSi2N6 crystal at the PBE-GGA level of DFT.

- size of the total moment (Bohr magnetons per cell) = 1.48
- Fermi-level density of states (states/eV/atom) = 0.236
- formation energy without anion corrections (meV/atom) = -1139

Cell: 5.945 5.945 6.833 Å, 90.00 90.00 120.00°
Last column: magnetic moment on the atom in μB.
Element x y z (fractional)
Ac  0.333  0.667  0.659  0.05
Ac  0.667  0.333  0.341  0.05
Ac  0.000  0.000  0.000  0.02
Ho  0.000  0.000  0.500  0.09
Si  0.667  0.333  0.790  0.07
Si  0.333  0.667  0.210  0.07
N  0.649  0.824  0.291  0.06
N  0.176  0.351  0.291  0.06
N  0.176  0.824  0.291  0.06
N  0.824  0.649  0.709  0.06
N  0.351  0.176  0.709  0.06
N  0.824  0.176  0.709  0.06

***

Computed electronic total energy (eV/f.u.) in order:
-96.3; -63.9; -47.2; -91.4